## TlInCoSn2 (GGA-PBE)

Data for a geometry-optimized TlInCoSn2 structure.

POSCAR file:
```
TlInCoSn2
1.0
4.981 0.000 0.000
0.000 4.981 0.000
0.000 0.000 5.135
Tl In Co Sn
1 1 1 2
direct
0.000 0.000 0.000
0.500 0.500 0.000
0.000 0.000 0.500
0.000 0.500 0.500
0.500 0.000 0.500
```

Calculated values
- total energy (eV per cell) = -19.575
- formation energy from the elements (eV per atom) = 0.128